Density functional theory data (PBE-GGA) for a geometry-optimized Sr6CuPd2 structure. Values from VASP.

Quantum ESPRESSO input file:
```
&SYSTEM
  ibrav = 0, nat = 9, ntyp = 3
/
ATOMIC_SPECIES
Sr 87.62 Sr.upf
Pd 106.42 Pd.upf
Cu 63.55 Cu.upf
ATOMIC_POSITIONS angstrom
Sr -1.267 1.959 3.021
Sr -5.253 0.857 2.426
Sr -6.525 0.499 8.384
Sr -3.331 -0.927 5.683
Sr -7.317 -2.030 5.088
Sr -2.059 -0.569 -0.275
Pd -2.646 -0.735 2.693
Pd -5.938 0.665 5.416
Cu -0.594 2.148 0.002
CELL_PARAMETERS angstrom
-1.189 4.297 0.005
-8.260 -2.284 -1.359
0.865 -2.083 9.464
```

Output
electronic total energy: -27.15 eV for the cell shown
N(E_F): 4.425 states/eV/f.u.
formation energy: -286 meV/atom